A geometry-optimized Er2Zn17 structure. Source: OQMD via LeMat-Bulk, functional GGA-PBE.

The crystal system is hexagonal. Its space group is No. 194. As for the total moment: 0.01 μB per formula unit. The energy of formation is -4.2 eV/f.u.

POSCAR file:
```
Er2Zn17
1.0
8.914 0.000 0.000
-4.457 7.720 0.000
0.000 0.000 8.697
Er Zn
4 34
direct
0.000 0.000 0.250
0.000 0.000 0.750
0.333 0.667 0.250
0.667 0.333 0.750
0.000 0.500 0.000
0.000 0.500 0.500
0.036 0.365 0.750
0.036 0.671 0.750
0.162 0.323 0.021
0.162 0.323 0.479
0.162 0.838 0.021
0.162 0.838 0.479
0.323 0.162 0.521
0.323 0.162 0.979
0.329 0.365 0.750
0.329 0.964 0.750
0.333 0.667 0.601
0.333 0.667 0.899
0.365 0.036 0.250
0.365 0.329 0.250
0.500 0.000 0.000
0.500 0.000 0.500
0.500 0.500 0.000
0.500 0.500 0.500
0.635 0.671 0.750
0.635 0.964 0.750
0.667 0.333 0.101
0.667 0.333 0.399
0.671 0.036 0.250
0.671 0.635 0.250
0.677 0.838 0.021
0.677 0.838 0.479
0.838 0.162 0.521
0.838 0.162 0.979
0.838 0.677 0.521
0.838 0.677 0.979
0.964 0.329 0.250
0.964 0.635 0.250
```


A geometry-optimized ErZn2 structure. Source: OQMD via LeMat-Bulk, functional GGA-PBE.

The crystal system is orthorhombic. Its space group is No. 63. As for the total moment: 0.00 μB per formula unit. The energy of formation is -0.7 eV/f.u.

POSCAR file:
```
ErZn2
1.0
1.763 -6.931 0.000
1.763 6.931 0.000
0.000 0.000 4.659
Er Zn
2 4
direct
0.084 0.916 0.750
0.916 0.084 0.250
0.249 0.751 0.250
0.387 0.613 0.750
0.613 0.387 0.250
0.751 0.249 0.750
```


A geometry-optimized ErZn2 structure. Source: OQMD via LeMat-Bulk, functional GGA-PBE.

The crystal system is orthorhombic. Its space group is No. 63. As for the total moment: 0.03 μB per formula unit. The energy of formation is -0.6 eV/f.u.

POSCAR file:
```
ErZn2
1.0
5.213 -2.434 0.000
5.213 2.434 0.000
0.000 0.000 4.516
Er Zn
2 4
direct
0.236 0.764 0.750
0.764 0.236 0.250
0.133 0.485 0.250
0.485 0.133 0.750
0.515 0.867 0.250
0.867 0.515 0.750
```


A geometry-optimized ErZrZn2 structure. Source: OQMD via LeMat-Bulk, functional GGA-PBE.

The crystal system is hexagonal. Its space group is No. 194. As for the total moment: 0.00 μB per formula unit. The energy of formation is -0.3 eV/f.u.

POSCAR file:
```
ErZrZn2
1.0
3.391 0.000 0.000
-1.695 2.936 0.000
0.000 0.000 17.461
Er Zr Zn
2 2 4
direct
0.000 0.000 0.000
0.000 0.000 0.500
0.333 0.667 0.250
0.667 0.333 0.750
0.333 0.667 0.629
0.333 0.667 0.871
0.667 0.333 0.129
0.667 0.333 0.371
```


A geometry-optimized Er2Zr structure. Source: OQMD via LeMat-Bulk, functional GGA-PBE.

The energy above the most stable polymorph in this dataset is 0.000 eV per atom. The crystal system is orthorhombic. Its space group is No. 63. As for the total moment: 0.00 μB per formula unit. The energy of formation is 0.2 eV/f.u.

POSCAR file:
```
Er2Zr
1.0
2.406 -7.207 0.000
2.406 7.207 0.000
0.000 0.000 4.760
Er Zr
4 2
direct
0.079 0.921 0.750
0.249 0.751 0.250
0.751 0.249 0.750
0.921 0.079 0.250
0.423 0.577 0.750
0.577 0.423 0.250
```


A geometry-optimized Er2Zr structure. Source: OQMD via LeMat-Bulk, functional GGA-PBE.

The energy above the most stable polymorph in this dataset is 0.425 eV per atom. The crystal system is cubic. Its space group is No. 227. As for the total moment: 2.01 μB per formula unit. The energy of formation is 1.5 eV/f.u.

POSCAR file:
```
Er2Zr
1.0
0.000 4.406 4.406
4.406 0.000 4.406
4.406 4.406 0.000
Er Zr
4 2
direct
0.000 0.000 0.000
0.000 0.000 0.500
0.000 0.500 0.000
0.500 0.000 0.000
0.375 0.375 0.375
0.625 0.625 0.625
```


A geometry-optimized Er3Zr4 structure. Source: OQMD via LeMat-Bulk, functional GGA-PBE.

The crystal system is hexagonal. Its space group is No. 176. As for the total moment: 0.00 μB per formula unit. The energy of formation is 0.3 eV/f.u.

POSCAR file:
```
Er3Zr4
1.0
8.917 0.000 0.000
-4.458 7.722 0.000
0.000 0.000 5.288
Er Zr
6 8
direct
0.053 0.252 0.250
0.199 0.947 0.250
0.252 0.199 0.750
0.748 0.801 0.250
0.801 0.053 0.750
0.947 0.748 0.750
0.104 0.493 0.750
0.333 0.667 0.250
0.389 0.896 0.750
0.493 0.389 0.250
0.507 0.611 0.750
0.611 0.104 0.250
0.667 0.333 0.750
0.896 0.507 0.250
```


A geometry-optimized Er3Zr4 structure. Source: OQMD via LeMat-Bulk, functional GGA-PBE.

The crystal system is hexagonal. Its space group is No. 176. As for the total moment: 0.00 μB per formula unit. The energy of formation is 0.3 eV/f.u.

POSCAR file:
```
Er3Zr4
1.0
8.869 0.000 0.000
-4.435 7.681 0.000
0.000 0.000 5.326
Er Zr
6 8
direct
0.094 0.465 0.250
0.371 0.906 0.250
0.465 0.371 0.750
0.535 0.629 0.250
0.629 0.094 0.750
0.906 0.535 0.750
0.050 0.228 0.750
0.177 0.950 0.750
0.228 0.177 0.250
0.333 0.667 0.750
0.667 0.333 0.250
0.772 0.823 0.750
0.823 0.050 0.250
0.950 0.772 0.250
```


A geometry-optimized Er2Zr structure. Source: OQMD via LeMat-Bulk, functional GGA-PBE.

The energy above the most stable polymorph in this dataset is 2.353 eV per atom. The crystal system is cubic. Its space group is No. 227. As for the total moment: 0.70 μB per formula unit. The energy of formation is 7.3 eV/f.u.

POSCAR file:
```
Er2Zr
1.0
0.000 6.477 6.477
6.477 0.000 6.477
6.477 6.477 0.000
Er Zr
4 2
direct
0.000 0.000 0.000
0.000 0.000 0.500
0.000 0.500 0.000
0.500 0.000 0.000
0.125 0.125 0.125
0.875 0.875 0.875
```


A geometry-optimized Rb2GaHgF6 structure. Source: OQMD via LeMat-Bulk, functional GGA-PBE.

The crystal system is monoclinic. Its calculated total energy is -3.993 eV per atom. Its space group is No. 12.

POSCAR file:
```
Rb2GaHgF6
1.0
5.316 -3.044 0.000
5.316 3.044 0.000
-3.641 0.000 5.054
Rb Ga Hg F
2 1 1 6
direct
0.249 0.249 0.252
0.751 0.751 0.748
0.000 0.000 0.500
0.500 0.500 0.000
0.187 0.744 0.678
0.216 0.216 0.782
0.256 0.813 0.322
0.744 0.187 0.678
0.784 0.784 0.218
0.813 0.256 0.322
```


A geometry-optimized Tl2GaHgF6 structure. Source: OQMD via LeMat-Bulk, functional GGA-PBE.

The crystal system is cubic. Its calculated total energy is -3.812 eV per atom. Its space group is No. 225.

POSCAR file:
```
Tl2GaHgF6
1.0
0.000 4.310 4.310
4.310 0.000 4.310
4.310 4.310 0.000
Tl Ga Hg F
2 1 1 6
direct
0.250 0.250 0.250
0.750 0.750 0.750
0.000 0.000 0.000
0.500 0.500 0.500
0.220 0.220 0.780
0.220 0.780 0.220
0.220 0.780 0.780
0.780 0.220 0.220
0.780 0.220 0.780
0.780 0.780 0.220
```


A geometry-optimized Pr2Ga2IF structure. Source: OQMD via LeMat-Bulk, functional GGA-PBE.

The crystal system is trigonal. Its calculated total energy is -4.709 eV per atom. Its space group is No. 156. As for the total moment: 0.01 μB per formula unit.

POSCAR file:
```
Pr2Ga2IF
1.0
4.210 0.000 0.000
-2.105 3.646 0.000
0.000 0.000 9.471
Pr Ga I F
2 2 1 1
direct
0.000 0.000 0.000
0.000 0.000 0.457
0.333 0.667 0.249
0.667 0.333 0.181
0.333 0.667 0.766
0.667 0.333 0.523
```


Copy entry 1 word for word.
A geometry-optimized Er2Zn17 structure. Source: OQMD via LeMat-Bulk, functional GGA-PBE.

The crystal system is hexagonal. Its space group is No. 194. As for the total moment: 0.01 μB per formula unit. The energy of formation is -4.2 eV/f.u.

POSCAR file:
```
Er2Zn17
1.0
8.914 0.000 0.000
-4.457 7.720 0.000
0.000 0.000 8.697
Er Zn
4 34
direct
0.000 0.000 0.250
0.000 0.000 0.750
0.333 0.667 0.250
0.667 0.333 0.750
0.000 0.500 0.000
0.000 0.500 0.500
0.036 0.365 0.750
0.036 0.671 0.750
0.162 0.323 0.021
0.162 0.323 0.479
0.162 0.838 0.021
0.162 0.838 0.479
0.323 0.162 0.521
0.323 0.162 0.979
0.329 0.365 0.750
0.329 0.964 0.750
0.333 0.667 0.601
0.333 0.667 0.899
0.365 0.036 0.250
0.365 0.329 0.250
0.500 0.000 0.000
0.500 0.000 0.500
0.500 0.500 0.000
0.500 0.500 0.500
0.635 0.671 0.750
0.635 0.964 0.750
0.667 0.333 0.101
0.667 0.333 0.399
0.671 0.036 0.250
0.671 0.635 0.250
0.677 0.838 0.021
0.677 0.838 0.479
0.838 0.162 0.521
0.838 0.162 0.979
0.838 0.677 0.521
0.838 0.677 0.979
0.964 0.329 0.250
0.964 0.635 0.250
```